(1)
Material: HoSnIr
Method: DFT, PBE-GGA
State: relaxed

The calculation puts the electronic total energy at -0.2427 hartree per atom. The calculation puts the total magnetization at 0.000 μB/atom. Its crystal system is monoclinic. The value obtained for the energy of formation from the pure elements is -790 meV/atom.

Lattice parameters (Å, degrees): 7.3588 4.2802 12.3146 90.00 91.41 90.00
Space group P2_1/m (No. 11)
One atom of each set of equivalent atoms:
1 Ho 0.0317 0.2500 0.1223 [2 per cell]
2 Ho 0.1468 0.2500 0.4186 [2 per cell]
3 Ho 0.4613 0.7500 0.7900 [2 per cell]
4 Sn 0.1283 0.2500 0.7076 [2 per cell]
5 Sn 0.3455 0.7500 0.0463 [2 per cell]
6 Sn 0.4914 0.7500 0.4105 [2 per cell]
7 Ir 0.2347 0.7500 0.2547 [2 per cell]
8 Ir 0.2606 0.7500 0.5877 [2 per cell]
9 Ir 0.2661 0.2500 0.9203 [2 per cell]

---

(2)
Material: Sr2HoSn3Ir4
Method: DFT, PBE-GGA
State: relaxed

The calculation puts the electronic total energy at -0.2236 hartree per atom. The calculation puts the total magnetization at 0.000 μB/atom. Its crystal system is tetragonal. The value obtained for the energy of formation from the pure elements is -544 meV/atom.

Lattice parameters (Å, degrees): 4.4721 4.4721 11.5985 90.00 90.00 90.00
Space group P-4m2 (No. 115)
One atom of each set of equivalent atoms:
1 Sr 0.0000 0.5000 0.2348 [2 per cell]
2 Ho 0.0000 0.0000 0.5000 [1 per cell]
3 Sn 0.0000 0.5000 0.8753 [2 per cell]
4 Sn 0.5000 0.5000 0.5000 [1 per cell]
5 Ir 0.0000 0.0000 0.0000 [1 per cell]
6 Ir 0.0000 0.5000 0.6424 [2 per cell]
7 Ir 0.5000 0.5000 0.0000 [1 per cell]

---

(3)
Material: HoTmSnIr
Method: DFT, PBE-GGA
State: relaxed

The calculation puts the electronic total energy at -0.2244 hartree per atom. The calculation puts the total magnetization at 0.000 μB/atom. Its crystal system is cubic. The value obtained for the energy of formation from the pure elements is -628 meV/atom.

Lattice parameters (Å, degrees): 7.1288 7.1288 7.1288 90.00 90.00 90.00
Space group F-43m (No. 216)
One atom of each set of equivalent atoms:
1 Ho 0.0000 0.0000 0.0000 [4 per cell]
2 Tm 0.0000 0.0000 0.5000 [4 per cell]
3 Sn 0.2500 0.2500 0.2500 [4 per cell]
4 Ir 0.2500 0.2500 0.7500 [4 per cell]